Compound: K2CaAgCl6
Source: the Alexandria database
Functional: PBE
Structure: relaxed

Space-group type: P2_1/c
Crystal system: monoclinic

Lattice parameters (Å, degrees): 7.295 7.735 10.049 90.00 88.99 90.00
Site moments in Bohr magnetons follow the coordinates.
Sites, in units of the cell vectors:
K  0.025  0.926  0.252  0.00
K  0.525  0.574  0.752  0.00
K  0.975  0.074  0.748  0.00
K  0.475  0.426  0.248  0.00
Ca  0.500  0.000  0.000  0.01
Ca  0.000  0.500  0.500  0.01
Ag  0.500  0.000  0.500  0.37
Ag  0.000  0.500  0.000  0.37
Cl  0.294  0.695  0.043  0.11
Cl  0.794  0.805  0.543  0.11
Cl  0.706  0.305  0.957  0.11
Cl  0.206  0.195  0.457  0.11
Cl  0.295  0.691  0.447  0.03
Cl  0.795  0.809  0.947  0.03
Cl  0.705  0.309  0.553  0.03
Cl  0.205  0.191  0.053  0.03
Cl  0.898  0.526  0.235  0.13
Cl  0.398  0.974  0.735  0.13
Cl  0.102  0.474  0.765  0.13
Cl  0.602  0.026  0.265  0.13

=====

Compound: KCaAgCl4
Source: the Alexandria database
Functional: PBE
Structure: relaxed

Space-group type: Imma
Crystal system: orthorhombic

Lattice parameters (Å, degrees): 8.191 8.717 8.307 118.46 90.00 118.03
Sites, in units of the cell vectors:
K  0.854  0.708  0.104
K  0.146  0.292  0.896
Ca  0.500  0.000  0.500
Ca  0.500  0.000  0.000
Ag  0.500  0.500  0.500
Ag  0.000  0.500  0.500
Cl  0.714  0.427  0.678
Cl  0.281  0.006  0.253
Cl  0.725  0.006  0.253
Cl  0.714  0.427  0.249
Cl  0.286  0.573  0.751
Cl  0.719  0.994  0.747
Cl  0.275  0.994  0.747
Cl  0.286  0.573  0.322

=====

Compound: K3CaAg2Cl6
Source: the Alexandria database
Functional: PBE
Structure: relaxed

Space-group type: P-3m1
Crystal system: trigonal

Lattice parameters (Å, degrees): 7.555 7.555 7.973 90.00 90.00 120.00
Sites, in units of the cell vectors:
K  0.333  0.667  0.602
K  0.667  0.333  0.398
K  0.000  0.000  0.000
Ca  0.000  0.000  0.500
Ag  0.667  0.333  0.896
Ag  0.333  0.667  0.104
Cl  0.668  0.834  0.296
Cl  0.166  0.332  0.296
Cl  0.166  0.834  0.296
Cl  0.834  0.668  0.704
Cl  0.332  0.166  0.704
Cl  0.834  0.166  0.704

=====

Compound: KCaAg2Cl8
Source: the Alexandria database
Functional: PBE
Structure: relaxed

Space-group type: I-4
Crystal system: tetragonal

Lattice parameters (Å, degrees): 7.167 7.167 8.128 116.16 116.16 90.00
Site moments in Bohr magnetons follow the coordinates.
Sites, in units of the cell vectors:
K  0.750  0.250  0.500  0.00
Ca  0.000  0.000  0.000  0.01
Ag  0.500  0.500  0.000  0.32
Ag  0.250  0.750  0.500  0.00
Cl  0.686  0.832  0.050  0.12
Cl  0.364  0.218  0.050  0.12
Cl  0.589  0.704  0.539  0.00
Cl  0.950  0.834  0.539  0.00
Cl  0.166  0.411  0.461  0.00
Cl  0.296  0.050  0.461  0.00
Cl  0.168  0.636  0.950  0.12
Cl  0.782  0.314  0.950  0.12

=====

Final energy (computed, eV for the cell shown): -67.9 -50.3 -38.8 -35.5
Formation energy from raw total energies (computed, meV/atom): -1582 -1690 -1392 -996